## LiFeF4 (GGA+U)

Data for crystalline LiFeF4 at its relaxed geometry.

Geometry as POSCAR:
```
LiFeF4
1.0
10.4649 0.0000 0.0000
0.0000 7.4762 0.0000
0.0000 0.0000 7.4897
Li Fe F
8 8 32
Direct
0.0216 0.2500 0.1309
0.0325 0.2500 0.5453
0.4675 0.7500 0.0453
0.4784 0.7500 0.6309
0.5216 0.2500 0.3691
0.5325 0.2500 0.9547
0.9675 0.7500 0.4547
0.9784 0.7500 0.8691
0.2422 0.5030 0.3819
0.2422 0.9970 0.3819
0.2578 0.0030 0.8819
0.2578 0.4970 0.8819
0.7422 0.5030 0.1181
0.7422 0.9970 0.1181
0.7578 0.0030 0.6181
0.7578 0.4970 0.6181
0.0718 0.0796 0.3407
0.0718 0.4204 0.3407
0.1031 0.0806 0.9682
0.1031 0.4194 0.9682
0.1589 0.7500 0.4076
0.1864 0.7500 0.8494
0.1991 0.0625 0.6377
0.1991 0.4375 0.6377
0.3009 0.5625 0.1377
0.3009 0.9375 0.1377
0.3136 0.2500 0.3494
0.3411 0.2500 0.9076
0.3969 0.5806 0.4682
0.3969 0.9194 0.4682
0.4282 0.5796 0.8407
0.4282 0.9204 0.8407
0.5718 0.0796 0.1593
0.5718 0.4204 0.1593
0.6031 0.0806 0.5318
0.6031 0.4194 0.5318
0.6589 0.7500 0.0924
0.6864 0.7500 0.6506
0.6991 0.0625 0.8623
0.6991 0.4375 0.8623
0.8009 0.5625 0.3623
0.8009 0.9375 0.3623
0.8136 0.2500 0.1506
0.8411 0.2500 0.5924
0.8969 0.5806 0.0318
0.8969 0.9194 0.0318
0.9282 0.5796 0.6593
0.9282 0.9204 0.6593
```

Results
Volume (Å³ per atom): 12.2
Distance to the lowest polymorph of the same formula (meV/atom): 69.0
D(E_F) (states/eV per cell): 0.00